Record 1
A plane-wave DFT calculation with PBE-GGA was carried out for a relaxed structure of Pm3Ga2SnPd9.

Summary:
The value obtained for the formation enthalpy at 0 K is -0.59 eV per atom.

Cell lengths 5.710, 5.710, 11.775 Å; angles 90.00, 90.00, 120.00 degrees
Fractional coordinates of all 15 atoms:
Pm1 0.333 0.667 0.758
Pm2 0.000 0.000 0.000
Pm3 0.667 0.333 0.242
Ga1 0.333 0.667 0.163
Ga2 0.667 0.333 0.837
Sn1 0.000 0.000 0.500
Pd1 0.835 0.165 0.679
Pd2 0.835 0.669 0.679
Pd3 0.331 0.165 0.679
Pd4 0.669 0.835 0.321
Pd5 0.165 0.331 0.321
Pd6 0.165 0.835 0.321
Pd7 0.500 0.000 0.000
Pd8 0.000 0.500 0.000
Pd9 0.500 0.500 0.000

Record 2
A plane-wave DFT calculation with PBE-GGA was carried out for a relaxed structure of SrPmGa2Pd5.

Summary:
The value obtained for the formation enthalpy at 0 K is -0.66 eV per atom.

Cell lengths 4.351, 4.351, 9.196 Å; angles 90.00, 90.00, 90.00 degrees
Fractional coordinates of all 9 atoms:
Sr1 0.000 0.000 0.500
Pm1 0.000 0.000 0.000
Ga1 0.500 0.500 0.138
Ga2 0.500 0.500 0.862
Pd1 0.000 0.500 0.267
Pd2 0.500 0.000 0.267
Pd3 0.000 0.500 0.733
Pd4 0.500 0.000 0.733
Pd5 0.500 0.500 0.500

Record 3
A plane-wave DFT calculation with PBE-GGA was carried out for a relaxed structure of SrPmGaPd.

Summary:
The value obtained for the formation enthalpy at 0 K is -0.48 eV per atom.

Cell lengths 5.253, 5.253, 5.253 Å; angles 60.00, 60.00, 60.00 degrees
Fractional coordinates of all 4 atoms:
Sr1 0.000 0.000 0.000
Ga1 0.750 0.750 0.750
Pd1 0.250 0.250 0.250
Pm1 0.500 0.500 0.500

Record 4
A plane-wave DFT calculation with PBE-GGA was carried out for a relaxed structure of TbPmGa2Pd5.

Summary:
The value obtained for the formation enthalpy at 0 K is -0.79 eV per atom.

Cell lengths 4.246, 4.246, 9.274 Å; angles 90.00, 90.00, 90.00 degrees
Fractional coordinates of all 9 atoms:
Tb1 0.000 0.000 0.000
Pm1 0.000 0.000 0.500
Ga1 0.500 0.500 0.134
Ga2 0.500 0.500 0.866
Pd1 0.000 0.500 0.274
Pd2 0.500 0.000 0.274
Pd3 0.000 0.500 0.726
Pd4 0.500 0.000 0.726
Pd5 0.500 0.500 0.500

Record 5
A plane-wave DFT calculation with PBE-GGA was carried out for a relaxed structure of TbPmGaPd.

Summary:
Its energy above the most stable polymorph in this dataset is 50 meV/atom. The value obtained for the formation enthalpy at 0 K is -0.65 eV per atom.

Cell lengths 5.104, 5.104, 5.104 Å; angles 60.00, 60.00, 60.00 degrees
Fractional coordinates of all 4 atoms:
Tb1 0.000 0.000 0.000
Ga1 0.250 0.250 0.250
Pd1 0.750 0.750 0.750
Pm1 0.500 0.500 0.500

Record 6
A plane-wave DFT calculation with PBE-GGA was carried out for a relaxed structure of TbPmGaPd.

Summary:
Its energy above the most stable polymorph in this dataset is 0 meV/atom. The value obtained for the formation enthalpy at 0 K is -0.70 eV per atom.

Cell lengths 3.828, 4.495, 5.928 Å; angles 90.00, 108.84, 90.00 degrees
Fractional coordinates of all 4 atoms:
Tb1 0.859 0.500 0.718
Pm1 0.144 0.000 0.287
Ga1 0.573 0.500 0.147
Pd1 0.424 0.000 0.848

Record 7
A plane-wave DFT calculation with PBE-GGA was carried out for a relaxed structure of TbPm2Ga4Pd3.

Summary:
The value obtained for the formation enthalpy at 0 K is -0.72 eV per atom.

Cell lengths 4.232, 4.232, 11.780 Å; angles 90.00, 90.00, 90.00 degrees
Fractional coordinates of all 10 atoms:
Tb1 0.500 0.500 0.500
Pm1 0.500 0.000 0.225
Pm2 0.000 0.500 0.775
Ga1 0.500 0.500 0.000
Ga2 0.000 0.000 0.000
Ga3 0.500 0.000 0.669
Ga4 0.000 0.500 0.331
Pd1 0.000 0.000 0.500
Pd2 0.500 0.000 0.878
Pd3 0.000 0.500 0.122

Record 8
A plane-wave DFT calculation with PBE-GGA was carried out for a relaxed structure of PmThGa2Pd5.

Summary:
The value obtained for the formation enthalpy at 0 K is -0.77 eV per atom.

Cell lengths 4.340, 4.340, 9.061 Å; angles 90.00, 90.00, 90.00 degrees
Fractional coordinates of all 9 atoms:
Pm1 0.000 0.000 0.500
Th1 0.000 0.000 0.000
Ga1 0.500 0.500 0.139
Ga2 0.500 0.500 0.861
Pd1 0.000 0.500 0.275
Pd2 0.500 0.000 0.275
Pd3 0.000 0.500 0.725
Pd4 0.500 0.000 0.725
Pd5 0.500 0.500 0.500

Record 9
A plane-wave DFT calculation with PBE-GGA was carried out for a relaxed structure of PmThGaPd.

Summary:
The value obtained for the formation enthalpy at 0 K is -0.53 eV per atom.

Cell lengths 5.176, 5.176, 5.176 Å; angles 60.00, 60.00, 60.00 degrees
Fractional coordinates of all 4 atoms:
Ga1 0.250 0.250 0.250
Pd1 0.750 0.750 0.750
Th1 0.000 0.000 0.000
Pm1 0.500 0.500 0.500

Record 10
A plane-wave DFT calculation with PBE-GGA was carried out for a relaxed structure of PmTmGa2Pd2.

Summary:
The value obtained for the formation enthalpy at 0 K is -0.85 eV per atom.

Cell lengths 4.503, 4.503, 6.980 Å; angles 90.00, 90.00, 120.00 degrees
Fractional coordinates of all 6 atoms:
Pm1 0.000 0.000 0.000
Tm1 0.000 0.000 0.500
Ga1 0.667 0.333 0.730
Ga2 0.333 0.667 0.270
Pd1 0.667 0.333 0.276
Pd2 0.333 0.667 0.724

Record 11
A plane-wave DFT calculation with PBE-GGA was carried out for a relaxed structure of Pm2TmGa3Pd4.

Summary:
The value obtained for the formation enthalpy at 0 K is -0.81 eV per atom.

Cell lengths 4.248, 4.248, 11.367 Å; angles 90.00, 90.00, 90.00 degrees
Fractional coordinates of all 10 atoms:
Pm1 0.500 0.000 0.228
Pm2 0.000 0.500 0.772
Tm1 0.500 0.500 0.500
Ga1 0.000 0.000 0.500
Ga2 0.500 0.000 0.877
Ga3 0.000 0.500 0.123
Pd1 0.500 0.500 0.000
Pd2 0.000 0.000 0.000
Pd3 0.500 0.000 0.656
Pd4 0.000 0.500 0.344

Record 12
A plane-wave DFT calculation with PBE-GGA was carried out for a relaxed structure of PmTmGa2Pd5.

Summary:
The value obtained for the formation enthalpy at 0 K is -0.78 eV per atom.

Cell lengths 4.222, 4.222, 9.280 Å; angles 90.00, 90.00, 90.00 degrees
Fractional coordinates of all 9 atoms:
Pm1 0.000 0.000 0.500
Tm1 0.000 0.000 0.000
Ga1 0.500 0.500 0.132
Ga2 0.500 0.500 0.868
Pd1 0.000 0.500 0.272
Pd2 0.500 0.000 0.272
Pd3 0.000 0.500 0.728
Pd4 0.500 0.000 0.728
Pd5 0.500 0.500 0.500

Record 13
A plane-wave DFT calculation with PBE-GGA was carried out for a relaxed structure of Pm2TmGa4Pd3.

Summary:
The value obtained for the formation enthalpy at 0 K is -0.73 eV per atom.

Cell lengths 4.195, 4.195, 11.825 Å; angles 90.00, 90.00, 90.00 degrees
Fractional coordinates of all 10 atoms:
Pm1 0.500 0.000 0.228
Pm2 0.000 0.500 0.772
Tm1 0.500 0.500 0.500
Ga1 0.500 0.500 0.000
Ga2 0.000 0.000 0.000
Ga3 0.500 0.000 0.665
Ga4 0.000 0.500 0.335
Pd1 0.000 0.000 0.500
Pd2 0.500 0.000 0.875
Pd3 0.000 0.500 0.125

Record 14
A plane-wave DFT calculation with PBE-GGA was carried out for a relaxed structure of PmYGa2Pd5.

Summary:
The value obtained for the formation enthalpy at 0 K is -0.79 eV per atom.

Cell lengths 4.240, 4.240, 9.288 Å; angles 90.00, 90.00, 90.00 degrees
Fractional coordinates of all 9 atoms:
Pm1 0.000 0.000 0.500
Y1 0.000 0.000 0.000
Ga1 0.500 0.500 0.134
Ga2 0.500 0.500 0.866
Pd1 0.000 0.500 0.274
Pd2 0.500 0.000 0.274
Pd3 0.000 0.500 0.726
Pd4 0.500 0.000 0.726
Pd5 0.500 0.500 0.500

Record 15
A plane-wave DFT calculation with PBE-GGA was carried out for a relaxed structure of PmYGa2Pd2.

Summary:
The value obtained for the formation enthalpy at 0 K is -0.84 eV per atom.

Cell lengths 4.515, 4.515, 7.071 Å; angles 90.00, 90.00, 120.00 degrees
Fractional coordinates of all 6 atoms:
Pm1 0.000 0.000 0.000
Y1 0.000 0.000 0.500
Ga1 0.667 0.333 0.737
Ga2 0.333 0.667 0.263
Pd1 0.667 0.333 0.265
Pd2 0.333 0.667 0.735

Record 16
A plane-wave DFT calculation with PBE-GGA was carried out for a relaxed structure of Pm3Zn2GaPd9.

Summary:
The value obtained for the formation enthalpy at 0 K is -0.41 eV per atom.

Cell lengths 7.328, 7.328, 6.642 Å; angles 90.00, 90.00, 120.00 degrees
Fractional coordinates of all 15 atoms:
Pm1 0.333 0.667 0.669
Pm2 0.000 0.000 0.000
Pm3 0.667 0.333 0.331
Zn1 0.333 0.667 0.168
Zn2 0.667 0.333 0.832
Ga1 0.000 0.000 0.500
Pd1 0.834 0.166 0.667
Pd2 0.834 0.668 0.667
Pd3 0.332 0.166 0.667
Pd4 0.668 0.834 0.333
Pd5 0.166 0.332 0.333
Pd6 0.166 0.834 0.333
Pd7 0.500 0.000 0.000
Pd8 0.000 0.500 0.000
Pd9 0.500 0.500 0.000

Record 17
A plane-wave DFT calculation with PBE-GGA was carried out for a relaxed structure of Pm2Zn4GaPd3.

Summary:
The value obtained for the formation enthalpy at 0 K is -0.57 eV per atom.

Cell lengths 4.008, 4.008, 11.855 Å; angles 90.00, 90.00, 90.00 degrees
Fractional coordinates of all 10 atoms:
Pm1 0.500 0.000 0.248
Pm2 0.000 0.500 0.752
Zn1 0.500 0.500 0.000
Zn2 0.000 0.000 0.000
Zn3 0.500 0.000 0.639
Zn4 0.000 0.500 0.361
Ga1 0.500 0.500 0.500
Pd1 0.000 0.000 0.500
Pd2 0.500 0.000 0.856
Pd3 0.000 0.500 0.144

Record 18
A plane-wave DFT calculation with PBE-GGA was carried out for a relaxed structure of Pm2ZnGa4Pd3.

Summary:
The value obtained for the formation enthalpy at 0 K is -0.72 eV per atom.

Cell lengths 4.251, 4.251, 10.676 Å; angles 90.00, 90.00, 90.00 degrees
Fractional coordinates of all 10 atoms:
Pm1 0.500 0.000 0.248
Pm2 0.000 0.500 0.752
Zn1 0.500 0.500 0.500
Ga1 0.500 0.500 0.000
Ga2 0.000 0.000 0.000
Ga3 0.500 0.000 0.634
Ga4 0.000 0.500 0.366
Pd1 0.000 0.000 0.500
Pd2 0.500 0.000 0.867
Pd3 0.000 0.500 0.133

Record 19
A plane-wave DFT calculation with PBE-GGA was carried out for a relaxed structure of Pm3ZnGa2Pd9.

Summary:
The value obtained for the formation enthalpy at 0 K is -0.57 eV per atom.

Cell lengths 5.736, 5.736, 11.147 Å; angles 90.00, 90.00, 120.00 degrees
Fractional coordinates of all 15 atoms:
Pm1 0.333 0.667 0.591
Pm2 0.000 0.000 0.000
Pm3 0.667 0.333 0.409
Zn1 0.000 0.000 0.500
Ga1 0.333 0.667 0.166
Ga2 0.667 0.333 0.834
Pd1 0.835 0.165 0.671
Pd2 0.835 0.669 0.671
Pd3 0.331 0.165 0.671
Pd4 0.669 0.835 0.329
Pd5 0.165 0.331 0.329
Pd6 0.165 0.835 0.329
Pd7 0.500 0.000 0.000
Pd8 0.000 0.500 0.000
Pd9 0.500 0.500 0.000

Record 20
A plane-wave DFT calculation with PBE-GGA was carried out for a relaxed structure of PmZnGa2Pd.

Summary:
The value obtained for the formation enthalpy at 0 K is -0.63 eV per atom.

Cell lengths 4.265, 4.265, 6.060 Å; angles 110.60, 110.60, 90.00 degrees
Fractional coordinates of all 5 atoms:
Pm1 0.000 0.000 0.000
Zn1 0.250 0.750 0.500
Ga1 0.618 0.618 0.236
Ga2 0.382 0.382 0.764
Pd1 0.750 0.250 0.500

Record 21
A plane-wave DFT calculation with PBE-GGA was carried out for a relaxed structure of Pm2ZnGa3Pd4.

Summary:
The value obtained for the formation enthalpy at 0 K is -0.76 eV per atom.

Cell lengths 4.308, 4.308, 10.379 Å; angles 90.00, 90.00, 90.00 degrees
Fractional coordinates of all 10 atoms:
Pm1 0.500 0.000 0.247
Pm2 0.000 0.500 0.753
Zn1 0.500 0.500 0.500
Ga1 0.000 0.000 0.500
Ga2 0.500 0.000 0.872
Ga3 0.000 0.500 0.128
Pd1 0.500 0.500 0.000
Pd2 0.000 0.000 0.000
Pd3 0.500 0.000 0.633
Pd4 0.000 0.500 0.367

Record 22
A plane-wave DFT calculation with PBE-GGA was carried out for a relaxed structure of Pm2Zn3GaPd4.

Summary:
The value obtained for the formation enthalpy at 0 K is -0.65 eV per atom.

Cell lengths 4.235, 4.235, 10.660 Å; angles 90.00, 90.00, 90.00 degrees
Fractional coordinates of all 10 atoms:
Pm1 0.500 0.000 0.246
Pm2 0.000 0.500 0.754
Zn1 0.000 0.000 0.500
Zn2 0.500 0.000 0.867
Zn3 0.000 0.500 0.133
Ga1 0.500 0.500 0.500
Pd1 0.500 0.500 0.000
Pd2 0.000 0.000 0.000
Pd3 0.500 0.000 0.634
Pd4 0.000 0.500 0.366

Record 23
A plane-wave DFT calculation with PBE-GGA was carried out for a relaxed structure of PmZrGa2Pd2.

Summary:
The value obtained for the formation enthalpy at 0 K is -0.78 eV per atom.

Cell lengths 4.450, 4.450, 6.940 Å; angles 90.00, 90.00, 120.00 degrees
Fractional coordinates of all 6 atoms:
Pm1 0.000 0.000 0.000
Zr1 0.000 0.000 0.500
Ga1 0.667 0.333 0.711
Ga2 0.333 0.667 0.289
Pd1 0.667 0.333 0.292
Pd2 0.333 0.667 0.708

Record 24
A plane-wave DFT calculation with PBE-GGA was carried out for a relaxed structure of Pm2ZrGa4Pd3.

Summary:
The value obtained for the formation enthalpy at 0 K is -0.71 eV per atom.

Cell lengths 4.221, 4.221, 11.342 Å; angles 90.00, 90.00, 90.00 degrees
Fractional coordinates of all 10 atoms:
Pm1 0.500 0.000 0.242
Pm2 0.000 0.500 0.758
Zr1 0.500 0.500 0.500
Ga1 0.500 0.500 0.000
Ga2 0.000 0.000 0.000
Ga3 0.500 0.000 0.655
Ga4 0.000 0.500 0.345
Pd1 0.000 0.000 0.500
Pd2 0.500 0.000 0.874
Pd3 0.000 0.500 0.126